The following is a DFT calculation (PBE) of a relaxed structure of Tb2PrDy2Sc2.

For the total DFT energy (no corrections), the calculation gives -70.8 eV for the cell shown. The value obtained for the formation energy is 0.076 eV per atom. The density of states at the Fermi level is 1.777 states/eV per atom.

It has space group C2/m (No. 12), with a = 23.267 Å, b = 3.434 Å, c = 5.451 Å, α = 90.00°, β = 103.54° and γ = 90.00°. The inequivalent atoms are Tb at (0.073, 0.000, 0.074), Pr at (0.000, 0.500, 0.500), Dy at (0.208, 0.500, 0.209) and Sc at (0.146, 0.000, 0.647).